Crystalline Zr3Cu4 at its relaxed geometry, computed with PBE.

The formation energy comes out at 17 kJ per mole of atoms.

Cell: 4.4632 4.4632 22.9973 Å, 90.00 90.00 120.00°
Closest atoms and distances in Å follow each position.
Space group R-3m (No. 166, hexagonal axes)
Asymmetric unit:
Zr: 0.0000 0.0000 0.0000 [3 per cell]  8 Cu 2.68-2.88
Zr: 0.0000 0.0000 0.2423 [6 per cell]  8 Cu 2.69-2.91
Cu: 0.0000 0.0000 0.1251 [6 per cell]  5 Zr 2.69-2.88
Cu: 0.0000 0.0000 0.3652 [6 per cell]  7 Zr 2.68-2.91, 3 Cu 2.97